(1)
A plane-wave DFT calculation with GGA-PBE was carried out for a geometry-optimized SnI2O8 structure.

Computed properties:
DOS at the Fermi energy	1.68	states/eV per cell
calculated total energy	-4.564	eV per atom
formation energy from raw total energies	-0.313	eV/atom
theoretical density	4052	kg/m3
M_tot	0.00	μB per formula unit

Cell: 6.042 6.042 6.486 Å, 90.00 90.00 120.00°
Positions (direct):
Sn 0.000 0.000 0.000
I 0.333 0.667 0.726
I 0.667 0.333 0.274
O 0.159 0.318 0.804
O 0.159 0.841 0.804
O 0.318 0.159 0.196
O 0.333 0.667 0.452
O 0.667 0.333 0.548
O 0.682 0.841 0.804
O 0.841 0.159 0.196
O 0.841 0.682 0.196

***

(2)
A plane-wave DFT calculation with GGA-PBE was carried out for a geometry-optimized K2NdRe2N6 structure.

Computed properties:
DOS at the Fermi energy	3.85	states/eV per cell
calculated total energy	-7.746	eV per atom
formation energy from raw total energies	-0.308	eV/atom
theoretical density	5048	kg/m3
M_tot	1.03	μB per formula unit

Cell: 6.376 6.376 7.548 Å, 117.98 117.98 59.98°
Positions (direct):
K 0.210 0.210 0.183
K 0.790 0.790 0.817
Nd 0.000 0.000 0.500
Re 0.456 0.456 0.794
Re 0.544 0.544 0.206
N 0.235 0.706 0.241
N 0.264 0.264 0.657
N 0.294 0.765 0.759
N 0.706 0.235 0.241
N 0.736 0.736 0.343
N 0.765 0.294 0.759

***

(3)
A plane-wave DFT calculation with GGA-PBE was carried out for a geometry-optimized ZnOs4Pb structure.

Computed properties:
formation energy	0.91	eV per atom
DOS at the Fermi energy	9.83	states/eV per cell
calculated total energy	-7.407	eV per atom
theoretical density	16474	kg/m3
M_tot	0.59	μB per formula unit

Cell: 5.282 5.282 5.282 Å, 60.00 60.00 60.00°
Positions (direct):
Zn 0.000 0.000 0.000
Os 0.124 0.625 0.625
Os 0.625 0.124 0.625
Os 0.625 0.625 0.124
Os 0.625 0.625 0.625
Pb 0.250 0.250 0.250

***

(4)
A plane-wave DFT calculation with GGA-PBE was carried out for a geometry-optimized LaZr2Al structure.

Computed properties:
formation energy	0.05	eV per atom
DOS at the Fermi energy	4.64	states/eV per cell
calculated total energy	-6.397	eV per atom
theoretical density	6252	kg/m3
M_tot	0.00	μB per formula unit

Cell: 5.242 5.242 3.367 Å, 90.00 90.00 90.07°
Positions (direct):
La 0.000 0.000 0.000
Zr 0.000 0.500 0.500
Zr 0.500 0.000 0.500
Al 0.500 0.500 0.000

***

(5)
A plane-wave DFT calculation with GGA-PBE was carried out for a geometry-optimized NbVZnCu2 structure.

Computed properties:
formation energy	1.39	eV per atom
DOS at the Fermi energy	5.13	states/eV per cell
calculated total energy	-4.345	eV per atom
theoretical density	5389	kg/m3
M_tot	0.00	μB per formula unit

Cell: 4.822 4.822 4.458 Å, 90.00 90.00 90.00°
Positions (direct):
Nb 0.000 0.000 0.000
V 0.000 0.000 0.500
Zn 0.500 0.500 0.500
Cu 0.000 0.500 0.000
Cu 0.500 0.000 0.000

***

(6)
A plane-wave DFT calculation with GGA-PBE was carried out for a geometry-optimized LiAcPrTc structure.

Computed properties:
formation energy	0.14	eV per atom
DOS at the Fermi energy	3.36	states/eV per cell
calculated total energy	-5.153	eV per atom
theoretical density	7784	kg/m3
M_tot	0.00	μB per formula unit

Cell: 5.225 5.225 5.225 Å, 60.00 60.00 60.00°
Positions (direct):
Li 0.000 0.000 0.000
Ac 0.750 0.750 0.750
Pr 0.250 0.250 0.250
Tc 0.500 0.500 0.500

***

(7)
A plane-wave DFT calculation with GGA-PBE was carried out for a geometry-optimized Zn6CdAg structure.

Computed properties:
formation energy	0.05	eV per atom
DOS at the Fermi energy	1.68	states/eV per cell
calculated total energy	-1.375	eV per atom
theoretical density	7640	kg/m3
M_tot	0.00	μB per formula unit
ΔE to the lowest computed polymorph	37	meV/atom

Cell: 5.107 5.107 5.107 Å, 90.00 90.00 90.00°
Positions (direct):
Zn 0.000 0.253 0.500
Zn 0.000 0.747 0.500
Zn 0.253 0.500 0.000
Zn 0.500 0.000 0.253
Zn 0.500 0.000 0.747
Zn 0.747 0.500 0.000
Cd 0.000 0.000 0.000
Ag 0.500 0.500 0.500

***

(8)
A plane-wave DFT calculation with GGA-PBE was carried out for a geometry-optimized GaSnSbO6 structure.

Computed properties:
calculated total energy	-6.103	eV per atom
formation energy from raw total energies	-1.558	eV/atom
theoretical density	6526	kg/m3
M_tot	0.00	μB per formula unit

Cell: 5.146 5.146 9.013 Å, 90.00 90.00 120.00°
Positions (direct):
Ga 0.333 0.667 0.250
Ga 0.667 0.333 0.750
Sn 0.000 0.000 0.000
Sn 0.000 0.000 0.500
Sb 0.333 0.667 0.750
Sb 0.667 0.333 0.250
O 0.001 0.345 0.130
O 0.001 0.656 0.370
O 0.344 0.345 0.370
O 0.344 0.999 0.130
O 0.345 0.001 0.630
O 0.345 0.344 0.870
O 0.655 0.656 0.130
O 0.655 0.999 0.370
O 0.656 0.001 0.870
O 0.656 0.655 0.630
O 0.999 0.344 0.630
O 0.999 0.655 0.870

***

Among the records above, which one has the highest M_tot?
K2NdRe2N6